[1]
## SbAsC (PBE)

Data for SbAsC after structural relaxation.

## Properties
E_form (uncorrected) = 0.590 eV/atom

Cell lengths 3.132, 6.328, 6.664 Å; angles 90.84, 90.15, 104.34 degrees
Atoms (fractional coordinates):
As 0.296 0.078 0.627
As 0.947 0.375 0.997
C 0.810 0.104 0.816
C 0.527 0.537 0.880
Sb 0.685 0.851 0.054
Sb 0.513 0.513 0.547

***

[2]
## PaAuSe4 (PBE)

Data for PaAuSe4 after structural relaxation.

## Properties
E_form (uncorrected) = -0.667 eV/atom

Cell lengths 7.085, 6.749, 6.973 Å; angles 90.00, 105.69, 90.00 degrees
Atoms (fractional coordinates):
Se 0.318 0.757 0.236
Se 0.182 0.743 0.764
Se 0.818 0.743 0.236
Se 0.318 0.243 0.236
Se 0.682 0.243 0.764
Se 0.682 0.757 0.764
Se 0.818 0.257 0.236
Se 0.182 0.257 0.764
Au 0.000 0.500 0.500
Au 0.500 0.000 0.500
Pa 0.500 0.500 0.000
Pa 0.000 0.000 0.000

***

[3]
## Zr2GaHg (PBE)

Data for Zr2GaHg after structural relaxation.

## Properties
E_form = -0.368 eV per atom

Cell lengths 3.115, 3.115, 8.322 Å; angles 90.00, 90.00, 90.00 degrees
Atoms (fractional coordinates):
Hg 0.500 0.500 0.500
Ga 0.500 0.500 0.000
Zr 0.000 0.000 0.767
Zr 0.000 0.000 0.233

***

[4]
## BaYOs (PBE)

Data for BaYOs after structural relaxation.

## Properties
E_form = 0.463 eV per atom

Cell lengths 4.281, 4.281, 6.605 Å; angles 90.00, 90.00, 120.00 degrees
Atoms (fractional coordinates):
Os 0.667 0.333 0.366
Ba 0.000 0.000 0.084
Y 0.333 0.667 0.551

***

[5]
## LiZrP (PBE)

Data for LiZrP after structural relaxation.

## Properties
E_form = -0.430 eV per atom

Cell lengths 5.702, 5.480, 3.247 Å; angles 76.90, 69.41, 33.69 degrees
Atoms (fractional coordinates):
Li 0.972 0.972 0.028
P 0.343 0.343 0.657
Zr 0.685 0.685 0.315

***

The records above give, respectively, calculated volume values of 21.33, 26.75, 20.19, 34.95, 17.42 Å³ per atom.